Pu3HI7, optimized geometry, DFT PBE; SG = P3m1 (156); calculated volume = 43.8 Å³/atom; electronic total energy = -6.12 eV/atom
1.0
8.6582 0.0000 0.0000
-4.3291 7.4982 0.0000
0.0000 0.0000 7.4161
Pu H I
3 1 7
direct
0.0193 0.5097 0.0000 Pu
0.4903 0.5097 0.0000 Pu
0.4903 0.9807 0.0000 Pu
0.3333 0.6667 0.9304 H
0.1654 0.3308 0.2551 I
0.1654 0.8346 0.2551 I
0.3346 0.1673 0.7610 I
0.6667 0.3333 0.2406 I
0.6692 0.8346 0.2551 I
0.8327 0.1673 0.7610 I
0.8327 0.6654 0.7610 I

TaAsRh2, optimized geometry, DFT PBE; SG = Cmmm (65); E_form = -1.1 eV per formula unit; calculated volume = 15.6 Å³/atom
1.0
2.7733 -3.7979 0.0000
2.7733 3.7979 0.0000
0.0000 0.0000 2.9568
Ta As Rh
1 1 2
direct
0.0000 0.0000 0.0000 Ta
0.5000 0.5000 0.0000 As
0.0000 0.5000 0.5000 Rh
0.5000 0.0000 0.5000 Rh

Tc2Ir4Ru3, optimized geometry, DFT PBE; SG = P-1 (2); E_form = -1.2 eV per formula unit; E above lowest polymorph = 0.00 kJ per mole of atoms; calculated volume = 14.3 Å³/atom
1.0
4.7699 0.0000 0.0000
0.0059 7.0116 0.0000
2.3692 2.6909 7.6761
Tc Ir Ru
4 8 6
direct
0.1116 0.3620 0.1116 Tc
0.3330 0.9152 0.6656 Tc
0.6670 0.0848 0.3344 Tc
0.8884 0.6380 0.8884 Tc
0.0000 0.4176 0.6675 Ir
0.0000 0.5824 0.3325 Ir
0.2219 0.9757 0.2207 Ir
0.3336 0.7495 0.9997 Ir
0.4458 0.6969 0.4428 Ir
0.5542 0.3031 0.5572 Ir
0.6664 0.2505 0.0003 Ir
0.7781 0.0243 0.7793 Ir
0.1119 0.1927 0.4429 Ru
0.2198 0.1394 0.8891 Ru
0.4439 0.5300 0.7780 Ru
0.5561 0.4700 0.2220 Ru
0.7802 0.8606 0.1109 Ru
0.8881 0.8073 0.5571 Ru

CaPr4Y7, optimized geometry, DFT PBE; SG = P-1 (2); E_form = 1.2 eV per formula unit; calculated volume = 34.4 Å³/atom
1.0
6.6426 0.0000 0.0000
0.9249 6.9225 0.0000
1.9981 0.3188 8.9853
Ca Pr Y
1 4 7
direct
0.0000 0.0000 0.0000 Ca
0.1578 0.6110 0.3095 Pr
0.3659 0.1870 0.7119 Pr
0.6341 0.8130 0.2881 Pr
0.8422 0.3890 0.6905 Pr
0.0000 0.5000 0.0000 Y
0.1852 0.1053 0.3788 Y
0.3241 0.6873 0.6390 Y
0.4898 0.2535 0.0462 Y
0.5102 0.7465 0.9538 Y
0.6759 0.3127 0.3610 Y
0.8148 0.8947 0.6212 Y

Y2NO, optimized geometry, DFT PBE; SG = C2/c (15); ΔE_f (raw) = -2.34 eV per atom; E above lowest polymorph = 0.29 kJ per mole of atoms; calculated volume = 14.5 Å³/atom
1.0
3.4436 -6.9006 0.0000
3.4436 6.9006 0.0000
-3.4383 0.0000 4.8771
Y N O
8 4 4
direct
0.0578 0.4328 0.7406 Y
0.1769 0.3018 0.2413 Y
0.3018 0.1769 0.7413 Y
0.4328 0.0578 0.2406 Y
0.5672 0.9422 0.7594 Y
0.6982 0.8231 0.2587 Y
0.8231 0.6982 0.7587 Y
0.9422 0.5672 0.2594 Y
0.0622 0.9378 0.2500 N
0.1873 0.8127 0.7500 N
0.8127 0.1873 0.2500 N
0.9378 0.0622 0.7500 N
0.3117 0.6883 0.2500 O
0.4367 0.5633 0.7500 O
0.5633 0.4367 0.2500 O
0.6883 0.3117 0.7500 O

IrCS2, optimized geometry, DFT PBE; SG = R-3m (166); ΔE_f (raw) = 0.57 eV per atom; calculated volume = 16.0 Å³/atom
1.0
1.8193 1.0504 5.5774
-1.8193 1.0504 5.5774
0.0000 -2.1008 5.5774
Ir C S
1 1 2
direct
0.0000 0.0000 0.0000 Ir
0.5000 0.5000 0.5000 C
0.4048 0.4048 0.4048 S
0.5952 0.5952 0.5952 S

PrSi2Sn2Pt7, optimized geometry, DFT PBE; SG = C2/m (12); ΔE_f (raw) = -0.62 eV per atom; calculated volume = 20.2 Å³/atom
1.0
2.8141 -2.8158 0.0000
2.8141 2.8158 0.0000
-2.7617 0.0000 15.3152
Pr Si Sn Pt
1 2 2 7
direct
0.0000 0.0000 0.0000 Pr
0.3823 0.3823 0.7596 Si
0.6177 0.6177 0.2404 Si
0.2105 0.2105 0.4231 Sn
0.7895 0.7895 0.5769 Sn
0.0748 0.5747 0.1531 Pt
0.3039 0.3039 0.6069 Pt
0.4253 0.9252 0.8469 Pt
0.5000 0.5000 0.0000 Pt
0.5747 0.0748 0.1531 Pt
0.6961 0.6961 0.3931 Pt
0.9252 0.4253 0.8469 Pt

ThNb2Fe9, optimized geometry, DFT PBE; SG = R-3m (166); E_form = -1.2 eV per formula unit; calculated volume = 13.9 Å³/atom
1.0
2.4606 1.4206 7.9788
-2.4606 1.4206 7.9788
0.0000 -2.8413 7.9788
Th Nb Fe
1 2 9
direct
0.0000 0.0000 0.0000 Th
0.1441 0.1441 0.1441 Nb
0.8559 0.8559 0.8559 Nb
0.0837 0.5894 0.5894 Fe
0.3331 0.3331 0.3331 Fe
0.4106 0.4106 0.9163 Fe
0.4106 0.9163 0.4106 Fe
0.5000 0.5000 0.5000 Fe
0.5894 0.0837 0.5894 Fe
0.5894 0.5894 0.0837 Fe
0.6669 0.6669 0.6669 Fe
0.9163 0.4106 0.4106 Fe

K2GeH6, optimized geometry, DFT PBE; SG = P4_2/mnm (136); E above lowest polymorph = 6.48 kJ per mole of atoms; calculated volume = 15.9 Å³/atom
1.0
5.2123 0.0000 0.0000
0.0000 5.2123 0.0000
0.0000 0.0000 10.5461
K Ge H
4 2 12
direct
0.0000 0.0000 0.1654 K
0.0000 0.0000 0.8346 K
0.5000 0.5000 0.3346 K
0.5000 0.5000 0.6654 K
0.0000 0.0000 0.5000 Ge
0.5000 0.5000 0.0000 Ge
0.1617 0.1617 0.3843 H
0.1617 0.1617 0.6157 H
0.2286 0.7714 0.5000 H
0.2714 0.2714 0.0000 H
0.3383 0.6617 0.1157 H
0.3383 0.6617 0.8843 H
0.6617 0.3383 0.1157 H
0.6617 0.3383 0.8843 H
0.7286 0.7286 0.0000 H
0.7714 0.2286 0.5000 H
0.8383 0.8383 0.3843 H
0.8383 0.8383 0.6157 H

Ca2Zn4Ga3Au, optimized geometry, DFT PBE; SG = P-4m2 (115); E_form = -3.6 eV per formula unit; calculated volume = 19.8 Å³/atom
1.0
4.2732 0.0000 0.0000
0.0000 4.2732 0.0000
0.0000 0.0000 10.8186
Ca Zn Ga Au
2 4 3 1
direct
0.0000 0.5000 0.2489 Ca
0.5000 0.0000 0.7511 Ca
0.0000 0.0000 0.0000 Zn
0.0000 0.5000 0.6396 Zn
0.5000 0.0000 0.3604 Zn
0.5000 0.5000 0.0000 Zn
0.0000 0.5000 0.8674 Ga
0.5000 0.0000 0.1326 Ga
0.5000 0.5000 0.5000 Ga
0.0000 0.0000 0.5000 Au

CeLuTi2, optimized geometry, DFT PBE; SG = P4/mmm (123); E_form = 0.8 eV per formula unit; calculated volume = 22.3 Å³/atom
1.0
3.6539 0.0000 0.0000
0.0000 3.6539 0.0000
0.0000 0.0000 6.6952
Ce Lu Ti
1 1 2
direct
0.0000 0.0000 0.0000 Ce
0.0000 0.0000 0.5000 Lu
0.5000 0.5000 0.2077 Ti
0.5000 0.5000 0.7923 Ti

Tb3Y2Er6Pb, optimized geometry, DFT PBE; SG = C2/m (12); E_form = -0.6 eV per formula unit; calculated volume = 30.5 Å³/atom
1.0
3.0329 -5.2539 0.0000
3.0329 5.2539 0.0000
-2.0353 0.0000 11.4734
Tb Y Er Pb
3 2 6 1
direct
0.0000 0.0000 0.0000 Tb
0.3327 0.6673 0.0000 Tb
0.6673 0.3327 0.0000 Tb
0.1661 0.8339 0.5000 Y
0.8339 0.1661 0.5000 Y
0.0883 0.4175 0.2513 Er
0.2536 0.2536 0.7501 Er
0.4175 0.0883 0.2513 Er
0.5825 0.9117 0.7487 Er
0.7464 0.7464 0.2499 Er
0.9117 0.5825 0.7487 Er
0.5000 0.5000 0.5000 Pb

The lowest calculated volume belongs to which entry? ThNb2Fe9

Copy entry 10 word for word.
Ca2Zn4Ga3Au, optimized geometry, DFT PBE; SG = P-4m2 (115); E_form = -3.6 eV per formula unit; calculated volume = 19.8 Å³/atom
1.0
4.2732 0.0000 0.0000
0.0000 4.2732 0.0000
0.0000 0.0000 10.8186
Ca Zn Ga Au
2 4 3 1
direct
0.0000 0.5000 0.2489 Ca
0.5000 0.0000 0.7511 Ca
0.0000 0.0000 0.0000 Zn
0.0000 0.5000 0.6396 Zn
0.5000 0.0000 0.3604 Zn
0.5000 0.5000 0.0000 Zn
0.0000 0.5000 0.8674 Ga
0.5000 0.0000 0.1326 Ga
0.5000 0.5000 0.5000 Ga
0.0000 0.0000 0.5000 Au

The highest calculated volume belongs to which entry? Pu3HI7